Arrangement one

This record from Alexandria describes crystalline AlCu2As at its relaxed geometry. The functional is GGA-PBE.

Cell lengths 3.863, 3.863, 16.784 Å; angles 90.00, 90.00, 90.00 degrees
Space group I-42d (No. 122)
Asymmetric unit:
Al 0.000 0.000 0.000 (multiplicity 4)
Cu 0.243 0.250 0.125 (multiplicity 8)
As 0.000 0.000 0.500 (multiplicity 4)


Arrangement two

This record from Alexandria describes crystalline AlCu2As at its relaxed geometry. The functional is GGA-PBE.

Cell lengths 9.610, 2.804, 4.379 Å; angles 90.00, 93.77, 90.00 degrees
Space group Cm (No. 8)
Asymmetric unit:
Al 0.000 0.000 0.000 (multiplicity 2)
Cu 0.016 0.500 0.519 (multiplicity 2)
Cu 0.255 0.000 0.762 (multiplicity 2)
As 0.255 0.500 0.268 (multiplicity 2)


Bottom line: arrangement two, by a margin of 14 meV/atom.


Arrangement one

This record from Alexandria describes crystalline Al3CuAs at its relaxed geometry. The functional is GGA-PBE.

Cell lengths 4.874, 4.874, 4.874 Å; angles 90.00, 90.00, 90.00 degrees
Space group Pm-3m (No. 221)
Asymmetric unit:
Al 0.000 0.000 0.500 (multiplicity 3)
Cu 0.500 0.500 0.500 (multiplicity 1)
As 0.000 0.000 0.000 (multiplicity 1)


Arrangement two

This record from Alexandria describes crystalline Al3CuAs at its relaxed geometry. The functional is GGA-PBE.

Cell lengths 4.565, 4.565, 4.565 Å; angles 90.00, 90.00, 90.00 degrees
Space group Pm-3m (No. 221)
Asymmetric unit:
Al 0.000 0.000 0.500 (multiplicity 3)
Cu 0.000 0.000 0.000 (multiplicity 1)
As 0.500 0.500 0.500 (multiplicity 1)


Bottom line: arrangement two, by a margin of 552 meV/atom.


Arrangement one

This record from Alexandria describes crystalline Al2InCuAs at its relaxed geometry. The functional is GGA-PBE.

Cell lengths 4.856, 4.856, 5.515 Å; angles 90.00, 90.00, 90.00 degrees
Space group P4/mmm (No. 123)
Asymmetric unit:
Al 0.000 0.500 0.000 (multiplicity 2)
In 0.000 0.000 0.500 (multiplicity 1)
Cu 0.500 0.500 0.500 (multiplicity 1)
As 0.000 0.000 0.000 (multiplicity 1)


Arrangement two

This record from Alexandria describes crystalline Al2InCuAs at its relaxed geometry. The functional is GGA-PBE.

Cell lengths 5.137, 5.137, 4.773 Å; angles 90.00, 90.00, 90.00 degrees
Space group P4/mmm (No. 123)
Asymmetric unit:
Al 0.000 0.500 0.000 (multiplicity 2)
In 0.000 0.000 0.000 (multiplicity 1)
Cu 0.000 0.000 0.500 (multiplicity 1)
As 0.500 0.500 0.500 (multiplicity 1)


Bottom line: arrangement one, by a margin of 167 meV/atom.


Arrangement one

This record from Alexandria describes crystalline AlCuAs2Se at its relaxed geometry. The functional is GGA-PBE.

Cell lengths 4.820, 4.820, 4.889 Å; angles 90.00, 90.00, 90.00 degrees
Space group P4/mmm (No. 123)
Asymmetric unit:
Al 0.000 0.000 0.000 (multiplicity 1)
Cu 0.500 0.500 0.500 (multiplicity 1)
As 0.000 0.500 0.000 (multiplicity 2)
Se 0.000 0.000 0.500 (multiplicity 1)


Arrangement two

This record from Alexandria describes crystalline AlCuAs2Se at its relaxed geometry. The functional is GGA-PBE.

Cell lengths 4.659, 4.659, 4.968 Å; angles 90.00, 90.00, 90.00 degrees
Space group P4/mmm (No. 123)
Asymmetric unit:
Al 0.000 0.000 0.000 (multiplicity 1)
Cu 0.500 0.500 0.500 (multiplicity 1)
As 0.000 0.500 0.500 (multiplicity 2)
Se 0.500 0.500 0.000 (multiplicity 1)


Bottom line: arrangement two, by a margin of 92 meV/atom.


Arrangement one

This record from Alexandria describes crystalline SrAl2CuAs at its relaxed geometry. The functional is GGA-PBE.

Cell lengths 5.925, 5.925, 5.594 Å; angles 90.00, 90.00, 90.00 degrees
Space group P4/mmm (No. 123)
Asymmetric unit:
Sr 0.000 0.000 0.000 (multiplicity 1)
Al 0.000 0.500 0.000 (multiplicity 2)
Cu 0.500 0.500 0.500 (multiplicity 1)
As 0.000 0.000 0.500 (multiplicity 1)


Arrangement two

This record from Alexandria describes crystalline SrAl2CuAs at its relaxed geometry. The functional is GGA-PBE.

Cell lengths 5.207, 5.207, 4.600 Å; angles 90.00, 90.00, 90.00 degrees
Space group P4/mmm (No. 123)
Asymmetric unit:
Sr 0.000 0.000 0.000 (multiplicity 1)
Al 0.000 0.500 0.500 (multiplicity 2)
Cu 0.500 0.500 0.000 (multiplicity 1)
As 0.500 0.500 0.500 (multiplicity 1)


Bottom line: arrangement two, by a margin of 1209 meV/atom.


Arrangement one

This record from Alexandria describes crystalline Al2ZnCuAs at its relaxed geometry. The functional is GGA-PBE.

Cell lengths 4.592, 4.592, 4.544 Å; angles 90.00, 90.00, 90.00 degrees
Space group P4/mmm (No. 123)
Asymmetric unit:
Al 0.000 0.500 0.000 (multiplicity 2)
Zn 0.000 0.000 0.500 (multiplicity 1)
Cu 0.000 0.000 0.000 (multiplicity 1)
As 0.500 0.500 0.500 (multiplicity 1)


Arrangement two

This record from Alexandria describes crystalline Al2ZnCuAs at its relaxed geometry. The functional is GGA-PBE.

Cell lengths 4.685, 4.685, 4.500 Å; angles 90.00, 90.00, 90.00 degrees
Space group P4/mmm (No. 123)
Asymmetric unit:
Al 0.000 0.500 0.000 (multiplicity 2)
Zn 0.000 0.000 0.000 (multiplicity 1)
Cu 0.000 0.000 0.500 (multiplicity 1)
As 0.500 0.500 0.500 (multiplicity 1)


Bottom line: arrangement one, by a margin of 264 meV/atom.


Arrangement one

This record from Alexandria describes crystalline Al3AsF at its relaxed geometry. The functional is GGA-PBE.

Cell lengths 5.026, 5.026, 5.026 Å; angles 90.00, 90.00, 90.00 degrees
Space group Pm-3m (No. 221)
Asymmetric unit:
Al 0.000 0.000 0.500 (multiplicity 3)
As 0.000 0.000 0.000 (multiplicity 1)
F 0.500 0.500 0.500 (multiplicity 1)


Arrangement two

This record from Alexandria describes crystalline Al3AsF at its relaxed geometry. The functional is GGA-PBE.

Cell lengths 4.503, 4.503, 4.503 Å; angles 90.00, 90.00, 90.00 degrees
Space group Pm-3m (No. 221)
Asymmetric unit:
Al 0.000 0.000 0.500 (multiplicity 3)
As 0.500 0.500 0.500 (multiplicity 1)
F 0.000 0.000 0.000 (multiplicity 1)


Bottom line: arrangement two, by a margin of 472 meV/atom.


Arrangement one

This record from Alexandria describes crystalline AlAs2F at its relaxed geometry. The functional is GGA-PBE.

Cell lengths 6.295, 6.295, 6.295 Å; angles 90.00, 90.00, 90.00 degrees
Space group Fm-3m (No. 225)
Asymmetric unit:
Al 0.000 0.000 0.000 (multiplicity 4)
As 0.250 0.250 0.250 (multiplicity 8)
F 0.000 0.000 0.500 (multiplicity 4)


Arrangement two

This record from Alexandria describes crystalline AlAs2F at its relaxed geometry. The functional is GGA-PBE.

Cell lengths 3.766, 3.766, 19.779 Å; angles 90.00, 90.00, 90.00 degrees
Space group I-42d (No. 122)
Asymmetric unit:
Al 0.000 0.000 0.000 (multiplicity 4)
As 0.226 0.250 0.625 (multiplicity 8)
F 0.000 0.000 0.500 (multiplicity 4)


Bottom line: arrangement two, by a margin of 17 meV/atom.


Arrangement one

This record from Alexandria describes crystalline Al2AsF at its relaxed geometry. The functional is GGA-PBE.

Cell lengths 4.710, 4.710, 13.285 Å; angles 90.00, 90.00, 90.00 degrees
Space group I-42d (No. 122)
Asymmetric unit:
Al 0.173 0.250 0.125 (multiplicity 8)
As 0.000 0.000 0.500 (multiplicity 4)
F 0.000 0.000 0.000 (multiplicity 4)


Arrangement two

This record from Alexandria describes crystalline Al2AsF at its relaxed geometry. The functional is GGA-PBE.

Cell lengths 6.323, 6.323, 6.323 Å; angles 90.00, 90.00, 90.00 degrees
Space group Fm-3m (No. 225)
Asymmetric unit:
Al 0.250 0.250 0.250 (multiplicity 8)
As 0.000 0.000 0.000 (multiplicity 4)
F 0.000 0.000 0.500 (multiplicity 4)


Bottom line: arrangement one, by a margin of 75 meV/atom.


Arrangement one

This record from Alexandria describes crystalline AlAsN2F at its relaxed geometry. The functional is GGA-PBE.

Cell lengths 3.896, 3.896, 3.545 Å; angles 90.00, 90.00, 90.00 degrees
Space group P4/mmm (No. 123)
Asymmetric unit:
Al 0.000 0.000 0.000 (multiplicity 1)
As 0.500 0.500 0.500 (multiplicity 1)
N 0.000 0.500 0.000 (multiplicity 2)
F 0.000 0.000 0.500 (multiplicity 1)


Arrangement two

This record from Alexandria describes crystalline AlAsN2F at its relaxed geometry. The functional is GGA-PBE.

Cell lengths 3.885, 3.885, 3.842 Å; angles 90.00, 90.00, 90.00 degrees
Space group P4/mmm (No. 123)
Asymmetric unit:
Al 0.000 0.000 0.000 (multiplicity 1)
As 0.500 0.500 0.500 (multiplicity 1)
N 0.000 0.500 0.500 (multiplicity 2)
F 0.500 0.500 0.000 (multiplicity 1)


Bottom line: arrangement one, by a margin of 631 meV/atom.


Arrangement one

This record from Alexandria describes crystalline AlAsSe2F at its relaxed geometry. The functional is GGA-PBE.

Cell lengths 4.766, 4.766, 4.927 Å; angles 90.00, 90.00, 90.00 degrees
Space group P4/mmm (No. 123)
Asymmetric unit:
Al 0.000 0.000 0.000 (multiplicity 1)
As 0.000 0.000 0.500 (multiplicity 1)
Se 0.000 0.500 0.000 (multiplicity 2)
F 0.500 0.500 0.500 (multiplicity 1)


Arrangement two

This record from Alexandria describes crystalline AlAsSe2F at its relaxed geometry. The functional is GGA-PBE.

Cell lengths 5.101, 5.101, 3.983 Å; angles 90.00, 90.00, 90.00 degrees
Space group P4/mmm (No. 123)
Asymmetric unit:
Al 0.000 0.000 0.000 (multiplicity 1)
As 0.500 0.500 0.000 (multiplicity 1)
Se 0.000 0.500 0.500 (multiplicity 2)
F 0.500 0.500 0.500 (multiplicity 1)


Bottom line: arrangement one, by a margin of 135 meV/atom.


Arrangement one

This record from Alexandria describes crystalline AlFeAsSe2 at its relaxed geometry. The functional is GGA-PBE.

Cell lengths 4.893, 4.893, 4.478 Å; angles 90.00, 90.00, 90.00 degrees
Space group P4/mmm (No. 123)
Asymmetric unit:
Al 0.000 0.000 0.000 (multiplicity 1)
Fe 0.500 0.500 0.500 (multiplicity 1)
As 0.500 0.500 0.000 (multiplicity 1)
Se 0.000 0.500 0.500 (multiplicity 2)


Arrangement two

This record from Alexandria describes crystalline AlFeAsSe2 at its relaxed geometry. The functional is GGA-PBE.

Cell lengths 4.830, 4.830, 4.767 Å; angles 90.00, 90.00, 90.00 degrees
Space group P4/mmm (No. 123)
Asymmetric unit:
Al 0.000 0.000 0.000 (multiplicity 1)
Fe 0.500 0.500 0.500 (multiplicity 1)
As 0.000 0.000 0.500 (multiplicity 1)
Se 0.000 0.500 0.000 (multiplicity 2)


Bottom line: arrangement one, by a margin of 578 meV/atom.